1.
# BiS2N2 (PBE-GGA, relaxed)
data_BiS2N2
_space_group_name_H-M_alt 'P 4/m m m'
_space_group_IT_number 123
_space_group_name_Hall '-P 4 2'
_cell_length_a 3.869
_cell_length_b 3.869
_cell_length_c 4.695
_cell_angle_alpha 90.00
_cell_angle_beta 90.00
_cell_angle_gamma 90.00
loop_
_atom_site_label
_atom_site_type_symbol
_atom_site_fract_x
_atom_site_fract_y
_atom_site_fract_z
Bi1 Bi 0.000 0.000 0.000
S1 S 0.500 0.500 0.000
S2 S 0.500 0.500 0.500
N1 N 0.000 0.500 0.500
# - Energy above the most stable polymorph in this dataset: 1356.9 meV per atom
# - Volume: 14.056 Å³ per atom
# - Formation energy without anion corrections: 1351 meV/atom
# - Crystal system: tetragonal

---

2.
# BiS2N2 (PBE-GGA, relaxed)
data_BiS2N2
_space_group_name_H-M_alt 'C 1 2/m 1'
_space_group_IT_number 12
_space_group_name_Hall '-C 2y'
_cell_length_a 6.749
_cell_length_b 3.884
_cell_length_c 10.925
_cell_angle_alpha 90.00
_cell_angle_beta 95.01
_cell_angle_gamma 90.00
loop_
_atom_site_label
_atom_site_type_symbol
_atom_site_fract_x
_atom_site_fract_y
_atom_site_fract_z
Bi1 Bi 0.000 0.000 0.000
S1 S 0.146 0.500 0.853
N1 N 0.047 0.000 0.460
# - Energy above the most stable polymorph in this dataset: 0.0 meV per atom
# - Volume: 28.530 Å³ per atom
# - Formation energy without anion corrections: -6 meV/atom
# - Crystal system: monoclinic

---

Please write out number 2 again, unchanged.
# BiS2N2 (PBE-GGA, relaxed)
data_BiS2N2
_space_group_name_H-M_alt 'C 1 2/m 1'
_space_group_IT_number 12
_space_group_name_Hall '-C 2y'
_cell_length_a 6.749
_cell_length_b 3.884
_cell_length_c 10.925
_cell_angle_alpha 90.00
_cell_angle_beta 95.01
_cell_angle_gamma 90.00
loop_
_atom_site_label
_atom_site_type_symbol
_atom_site_fract_x
_atom_site_fract_y
_atom_site_fract_z
Bi1 Bi 0.000 0.000 0.000
S1 S 0.146 0.500 0.853
N1 N 0.047 0.000 0.460
# - Energy above the most stable polymorph in this dataset: 0.0 meV per atom
# - Volume: 28.530 Å³ per atom
# - Formation energy without anion corrections: -6 meV/atom
# - Crystal system: monoclinic